Li3Fe2CoO6: optimized geometry, PBE with a Hubbard U.

Results
Final energy (eV per atom): -5.95
D(E_F) (states/eV/f.u.): 0.00
Total magnetization (μB per formula unit): 10.0
Offset from the most stable computed form (eV/f.u.): 0.00
Density (Mg/m³): 4.4

Lattice parameters (Å, degrees): 12.9082 2.9349 5.9145 90.00 104.22 90.00
With the nearest neighbours (Å) after each atom.
Space group C2/m (No. 12)
Symmetry-distinct sites (fractional):
Li 0.0000 0.0000 0.0000  6 O 2.13-2.20
Li 0.1609 0.5000 0.3328  6 O 2.07-2.28
Fe 0.1655 0.5000 0.8274  6 O 2.03-2.06
Co 0.0000 0.0000 0.5000  6 O 1.96-1.97
O 0.0035 0.5000 0.7240  2 Co 1.97, 1 Fe 2.03, 3 Li 2.07-2.20
O 0.1570 0.0000 0.5867  1 Co 1.96, 2 Fe 2.03, 2 Li 2.11
O 0.1696 0.0000 0.0719  3 Fe 2.05-2.06, 3 Li 2.13-2.15